(1)
FeAs2WSe | PBE | relaxed

Cell: 4.4004 4.4004 4.9540 Å, 90.00 90.00 90.00°
Fractional coordinates of all 5 atoms:
As (0.0000, 0.5000, 0.0000)
As (0.5000, 0.0000, 0.0000)
Se (0.0000, 0.0000, 0.5000)
W (0.5000, 0.5000, 0.5000)
Fe (0.0000, 0.0000, 0.0000)

The formation energy without anion corrections comes out at 5.30 eV/f.u. The density of states at the Fermi level comes out at 4.30 states/eV/f.u. The calculation puts the volume at 95.92 Å³ per cell. For the spin magnetization, the calculation gives 0.646 μB per atom.



(2)
Rb2TlPdI | PBE | relaxed

Cell: 6.4559 6.4559 5.3202 Å, 90.00 90.00 90.00°
Fractional coordinates of all 5 atoms:
I (0.5000, 0.5000, 0.5000)
Tl (0.0000, 0.0000, 0.5000)
Rb (0.0000, 0.5000, 0.0000)
Rb (0.5000, 0.0000, 0.0000)
Pd (0.0000, 0.0000, 0.0000)

The formation energy without anion corrections comes out at -2.47 eV/f.u. The density of states at the Fermi level comes out at 0.94 states/eV/f.u. The calculation puts the volume at 221.74 Å³ per cell. For the spin magnetization, the calculation gives 0.000 μB per atom.



(3)
Ni2AgTe3 | PBE | relaxed

Cell: 5.2275 7.6904 7.6904 Å, 120.00 90.00 90.00°
Fractional coordinates of all 12 atoms:
Ni (0.0000, 0.0000, 0.0000)
Ni (0.0000, 0.5000, 0.5000)
Ni (0.0000, 0.5000, 0.0000)
Ni (0.0000, 0.0000, 0.5000)
Ag (0.3153, 0.6667, 0.3333)
Ag (0.6847, 0.3333, 0.6667)
Te (0.7649, 0.3491, 0.1746)
Te (0.7649, 0.8254, 0.6509)
Te (0.7649, 0.8254, 0.1746)
Te (0.2351, 0.1746, 0.8254)
Te (0.2351, 0.6509, 0.8254)
Te (0.2351, 0.1746, 0.3491)

The formation energy without anion corrections comes out at -0.64 eV/f.u. The density of states at the Fermi level comes out at 1.98 states/eV/f.u. The calculation puts the volume at 267.75 Å³ per cell. For the spin magnetization, the calculation gives 0.000 μB per atom.



(4)
Te5AsPd4 | PBE | relaxed

Cell: 4.0222 7.3184 8.8942 Å, 103.49 103.07 90.00°
Fractional coordinates of all 10 atoms:
Te (0.8404, 0.6649, 0.6808)
Te (0.8406, 0.1450, 0.6812)
Te (0.1594, 0.8550, 0.3188)
Te (0.5000, 0.5000, 0.0000)
Te (0.1596, 0.3351, 0.3192)
As (0.5000, 0.0000, 0.0000)
Pd (0.3378, 0.9028, 0.6757)
Pd (0.9989, 0.7666, 0.9977)
Pd (0.6622, 0.0972, 0.3243)
Pd (0.0011, 0.2334, 0.0023)

The formation energy without anion corrections comes out at -2.35 eV/f.u. The density of states at the Fermi level comes out at 5.60 states/eV/f.u. The calculation puts the volume at 247.61 Å³ per cell. For the spin magnetization, the calculation gives 0.000 μB per atom.



(5)
Pr2HoAu | PBE | relaxed

Cell: 3.8082 3.8086 10.3203 Å, 100.63 90.00 60.00°
Fractional coordinates of all 4 atoms:
Pr (0.9170, 0.9213, 0.5361)
Pr (0.3502, 0.0539, 0.2345)
Ho (0.4868, 0.7810, 0.8256)
Au (0.7567, 0.2408, 0.0145)

The energy of formation from the pure elements is -125 kJ/mol of formula units. The density of states at the Fermi level comes out at 2.94 states/eV/f.u. The calculation puts the volume at 126.66 Å³ per cell. For the spin magnetization, the calculation gives 0.000 μB per atom.



(6)
CaAcCuIr | PBE | relaxed

Cell: 5.1187 5.1187 5.1187 Å, 60.00 60.00 60.00°
Fractional coordinates of all 4 atoms:
Ac (0.0000, 0.0000, 0.0000)
Ir (0.7500, 0.7500, 0.7500)
Ca (0.5000, 0.5000, 0.5000)
Cu (0.2500, 0.2500, 0.2500)

The energy of formation from the pure elements is -105 kJ/mol of formula units. The density of states at the Fermi level comes out at 1.93 states/eV/f.u. The calculation puts the volume at 94.83 Å³ per cell. For the spin magnetization, the calculation gives 0.000 μB per atom.



(7)
RbAs2PdBr | PBE | relaxed

Cell: 4.7334 4.7334 8.3216 Å, 90.00 90.00 90.00°
Fractional coordinates of all 5 atoms:
As (0.0000, 0.5000, 0.0000)
As (0.5000, 0.0000, 0.0000)
Br (0.0000, 0.0000, 0.5000)
Rb (0.5000, 0.5000, 0.5000)
Pd (0.0000, 0.0000, 0.0000)

The formation energy without anion corrections comes out at -1.05 eV/f.u. The density of states at the Fermi level comes out at 2.16 states/eV/f.u. The calculation puts the volume at 186.44 Å³ per cell. For the spin magnetization, the calculation gives 0.000 μB per atom.



(8)
CoRe2As | PBE | relaxed

Cell: 4.1251 3.6973 3.6973 Å, 90.00 90.00 90.00°
Fractional coordinates of all 4 atoms:
As (0.5000, 0.5000, 0.0000)
Co (0.5000, 0.0000, 0.5000)
Re (0.0000, 0.0000, 0.0000)
Re (0.0000, 0.5000, 0.5000)

The energy of formation from the pure elements is 199 kJ/mol of formula units. The density of states at the Fermi level comes out at 5.26 states/eV/f.u. The calculation puts the volume at 56.39 Å³ per cell. For the spin magnetization, the calculation gives 0.000 μB per atom.



(9)
Ti2VBr | PBE | relaxed

Cell: 4.5191 4.5191 4.5191 Å, 60.00 60.00 60.00°
Fractional coordinates of all 4 atoms:
V (0.0000, 0.0000, 0.0000)
Br (0.5000, 0.5000, 0.5000)
Ti (0.2500, 0.2500, 0.2500)
Ti (0.7500, 0.7500, 0.7500)

The formation energy without anion corrections comes out at 1.94 eV/f.u. The density of states at the Fermi level comes out at 4.43 states/eV/f.u. The calculation puts the volume at 65.26 Å³ per cell. For the spin magnetization, the calculation gives 0.000 μB per atom.



(10)
Nb2ZnPPd | PBE | relaxed

Cell: 4.9949 4.3065 4.9949 Å, 90.00 90.00 90.00°
Fractional coordinates of all 5 atoms:
P (0.0000, 0.5000, 0.0000)
Nb (0.0000, 0.0000, 0.5000)
Nb (0.5000, 0.0000, 0.0000)
Zn (0.5000, 0.5000, 0.5000)
Pd (0.0000, 0.0000, 0.0000)

The energy of formation from the pure elements is 543 kJ/mol of formula units. The density of states at the Fermi level comes out at 8.21 states/eV/f.u. The calculation puts the volume at 107.44 Å³ per cell. For the spin magnetization, the calculation gives 0.001 μB per atom.



(11)
Na3La2PdO6 | PBE | relaxed

Cell: 6.0421 6.0421 5.9433 Å, 99.02 99.02 120.24°
Fractional coordinates of all 12 atoms:
Na (0.1498, 0.8502, 0.5000)
Na (0.8502, 0.1498, 0.5000)
Na (0.5000, 0.5000, 0.5000)
La (0.3298, 0.6702, 0.0000)
La (0.6702, 0.3298, 0.0000)
Pd (0.0000, 0.0000, 0.0000)
O (0.9224, 0.6038, 0.7691)
O (0.7707, 0.7707, 0.2035)
O (0.0776, 0.3962, 0.2309)
O (0.6038, 0.9224, 0.7691)
O (0.2293, 0.2293, 0.7965)
O (0.3962, 0.0776, 0.2309)

The formation energy without anion corrections comes out at -23.83 eV/f.u. The calculation puts the volume at 177.92 Å³ per cell. For the spin magnetization, the calculation gives 0.084 μB per atom.



(12)
LaPm2Sn2 | PBE | relaxed

Cell: 8.2576 8.2573 6.2236 Å, 112.13 112.13 96.84°
Fractional coordinates of all 10 atoms:
La (0.1226, 0.8772, 0.2499)
La (0.8774, 0.1228, 0.7501)
Pm (0.7777, 0.5522, 0.4185)
Pm (0.4478, 0.2223, 0.0815)
Pm (0.5522, 0.7777, 0.9185)
Pm (0.2223, 0.4478, 0.5815)
Sn (0.3834, 0.6165, 0.2499)
Sn (0.8511, 0.1489, 0.2500)
Sn (0.1489, 0.8511, 0.7500)
Sn (0.6166, 0.3835, 0.7501)

The energy of formation from the pure elements is -211 kJ/mol of formula units. The density of states at the Fermi level comes out at 5.45 states/eV/f.u. The calculation puts the volume at 346.86 Å³ per cell. For the spin magnetization, the calculation gives 0.006 μB per atom.



(13)
Ac4PmPrNd2 | PBE | relaxed

Cell: 6.8424 8.0259 8.0259 Å, 101.89 64.77 64.77°
Fractional coordinates of all 8 atoms:
Ac (0.3759, 0.1253, 0.6238)
Ac (0.1249, 0.8747, 0.3762)
Ac (0.8751, 0.6238, 0.1253)
Ac (0.6241, 0.3762, 0.8747)
Pm (0.5000, 0.5000, 0.5000)
Pr (0.0000, 0.0000, 0.0000)
Nd (0.2496, 0.2504, 0.2504)
Nd (0.7504, 0.7496, 0.7496)

The energy of formation from the pure elements is 86 kJ/mol of formula units. The density of states at the Fermi level comes out at 13.43 states/eV/f.u. The calculation puts the volume at 317.60 Å³ per cell. For the spin magnetization, the calculation gives 0.000 μB per atom.



(14)
CaPrCuPt | PBE | relaxed

Cell: 5.0524 5.0524 5.0524 Å, 60.00 60.00 60.00°
Fractional coordinates of all 4 atoms:
Pr (0.0000, 0.0000, 0.0000)
Ca (0.5000, 0.5000, 0.5000)
Cu (0.2500, 0.2500, 0.2500)
Pt (0.7500, 0.7500, 0.7500)

The energy of formation from the pure elements is -221 kJ/mol of formula units. The density of states at the Fermi level comes out at 3.80 states/eV/f.u. The calculation puts the volume at 91.20 Å³ per cell. For the spin magnetization, the calculation gives 0.000 μB per atom.



(15)
AlTc2Hg | PBE | relaxed

Cell: 2.8330 2.8330 9.2876 Å, 90.00 90.00 116.14°
Fractional coordinates of all 4 atoms:
Al (0.0000, 0.0000, 0.4745)
Hg (0.5000, 0.5000, 0.7507)
Tc (0.0000, 0.0000, 0.0259)
Tc (0.5000, 0.5000, 0.2488)

The energy of formation from the pure elements is 120 kJ/mol of formula units. The density of states at the Fermi level comes out at 3.24 states/eV/f.u. The calculation puts the volume at 66.92 Å³ per cell. For the spin magnetization, the calculation gives 0.000 μB per atom.



(16)
Mo2CSe | PBE | relaxed

Cell: 5.3394 5.3394 6.1574 Å, 64.31 64.31 90.00°
Fractional coordinates of all 8 atoms:
Mo (0.5479, 0.1250, 0.2500)
Mo (0.2021, 0.6250, 0.2500)
Mo (0.3750, 0.4521, 0.7500)
Mo (0.8750, 0.7979, 0.7500)
C (0.5000, 0.5000, 0.0000)
C (0.2500, 0.7500, 0.5000)
Se (0.0000, 0.0000, 0.0000)
Se (0.7500, 0.2500, 0.5000)

The formation energy without anion corrections comes out at 1.89 eV/f.u. The density of states at the Fermi level comes out at 2.36 states/eV/f.u. The calculation puts the volume at 138.67 Å³ per cell. For the spin magnetization, the calculation gives 0.536 μB per atom.



(17)
LiScCr2As | PBE | relaxed

Cell: 4.5620 4.4317 4.5620 Å, 90.00 90.00 90.00°
Fractional coordinates of all 5 atoms:
Sc (0.5000, 0.5000, 0.5000)
Cr (0.0000, 0.0000, 0.5000)
Cr (0.5000, 0.0000, 0.0000)
As (0.0000, 0.0000, 0.0000)
Li (0.0000, 0.5000, 0.0000)

The energy of formation from the pure elements is 168 kJ/mol of formula units. The density of states at the Fermi level comes out at 3.75 states/eV/f.u. The calculation puts the volume at 92.23 Å³ per cell. For the spin magnetization, the calculation gives 0.840 μB per atom.



(18)
TaMoOs2 | PBE | relaxed

Cell: 2.7630 2.7630 8.3369 Å, 90.00 90.00 90.02°
Fractional coordinates of all 4 atoms:
Mo (0.5000, 0.5000, 0.7655)
Os (0.0000, 0.0000, 0.0154)
Os (0.5000, 0.5000, 0.2288)
Ta (0.0000, 0.0000, 0.4903)

The energy of formation from the pure elements is 24 kJ/mol of formula units. The density of states at the Fermi level comes out at 3.30 states/eV/f.u. The calculation puts the volume at 63.64 Å³ per cell. For the spin magnetization, the calculation gives 0.000 μB per atom.



(19)
Ac3Sn4Rh4 | PBE | relaxed

Cell: 4.5530 4.4759 14.0888 Å, 99.14 99.30 90.00°
Fractional coordinates of all 11 atoms:
Ac (0.3530, 0.8530, 0.7060)
Ac (0.6470, 0.1470, 0.2940)
Ac (0.0000, 0.0000, 0.0000)
Sn (0.8009, 0.3009, 0.6017)
Sn (0.4477, 0.4477, 0.8954)
Sn (0.5523, 0.5523, 0.1046)
Sn (0.1991, 0.6991, 0.3983)
Rh (0.2505, 0.2505, 0.5009)
Rh (0.1023, 0.6023, 0.2046)
Rh (0.8977, 0.3977, 0.7954)
Rh (0.7495, 0.7495, 0.4991)

The energy of formation from the pure elements is -767 kJ/mol of formula units. The density of states at the Fermi level comes out at 5.87 states/eV/f.u. The calculation puts the volume at 279.64 Å³ per cell. For the spin magnetization, the calculation gives 0.000 μB per atom.



(20)
K2VCo | PBE | relaxed

Cell: 12.6302 12.6302 9.1933 Å, 46.61 46.61 90.00°
Fractional coordinates of all 8 atoms:
K (0.8026, 0.1250, 0.2500)
K (0.9474, 0.6250, 0.2500)
K (0.3750, 0.1974, 0.7500)
K (0.8750, 0.0526, 0.7500)
Co (0.0000, 0.0000, 0.0000)
Co (0.7500, 0.2500, 0.5000)
V (0.5000, 0.5000, 0.0000)
V (0.2500, 0.7500, 0.5000)

The energy of formation from the pure elements is 405 kJ/mol of formula units. The density of states at the Fermi level comes out at 6.15 states/eV/f.u. The calculation puts the volume at 347.92 Å³ per cell. For the spin magnetization, the calculation gives 0.612 μB per atom.



(21)
CaFeOs | PBE | relaxed

Cell: 5.7683 5.7683 5.7683 Å, 152.38 142.38 47.30°
Fractional coordinates of all 3 atoms:
Ca (0.0002, 0.0002, 0.0000)
Os (0.7135, 0.7135, 0.0000)
Fe (0.2864, 0.2864, 0.0000)

The energy of formation from the pure elements is 113 kJ/mol of formula units. The density of states at the Fermi level comes out at 3.55 states/eV/f.u. The calculation puts the volume at 54.12 Å³ per cell. For the spin magnetization, the calculation gives 0.362 μB per atom.



(22)
MgCuPd | PBE | relaxed

Cell: 4.7684 4.7684 6.8480 Å, 90.00 90.00 120.00°
Fractional coordinates of all 9 atoms:
Mg (0.0631, 0.5316, 0.5000)
Mg (0.4684, 0.9369, 0.8333)
Mg (0.4684, 0.5316, 0.1667)
Cu (0.7538, 0.8769, 0.5000)
Cu (0.1231, 0.2462, 0.8333)
Cu (0.1231, 0.8769, 0.1667)
Pd (0.4014, 0.2007, 0.5000)
Pd (0.7993, 0.5986, 0.8333)
Pd (0.7993, 0.2007, 0.1667)

The energy of formation from the pure elements is -115 kJ/mol of formula units. The density of states at the Fermi level comes out at 0.94 states/eV/f.u. The calculation puts the volume at 134.85 Å³ per cell. For the spin magnetization, the calculation gives 0.000 μB per atom.



(23)
Dy3HfZr4N8 | PBE | relaxed

Cell: 6.6388 6.6583 6.6384 Å, 119.90 120.00 90.00°
Fractional coordinates of all 16 atoms:
Dy (0.5000, 0.5000, 0.0000)
Dy (0.5000, 0.5000, 0.5000)
Dy (0.0000, 0.5000, 0.5000)
Hf (0.0000, 0.5000, 0.0000)
Zr (0.5000, 0.0000, 0.0000)
Zr (0.5000, 0.0000, 0.5000)
Zr (0.0000, 0.0000, 0.0000)
Zr (0.0000, 0.0000, 0.5000)
N (0.2452, 0.7551, 0.0100)
N (0.2452, 0.7551, 0.4904)
N (0.2443, 0.2329, 0.4886)
N (0.7648, 0.7551, 0.0100)
N (0.2352, 0.2449, 0.9900)
N (0.7557, 0.7671, 0.5114)
N (0.7548, 0.2449, 0.5096)
N (0.7548, 0.2449, 0.9900)

The formation energy without anion corrections comes out at -27.48 eV/f.u. The density of states at the Fermi level comes out at 5.37 states/eV/f.u. The calculation puts the volume at 207.80 Å³ per cell. For the spin magnetization, the calculation gives 0.000 μB per atom.



(24)
KZrZn2 | PBE | relaxed

Cell: 3.4653 3.4878 8.7255 Å, 66.52 90.00 90.00°
Fractional coordinates of all 4 atoms:
K (0.5000, 0.7500, 0.7500)
Zn (0.0000, 0.9328, 0.0662)
Zn (0.0000, 0.5672, 0.4338)
Zr (0.5000, 0.2500, 0.2500)

The energy of formation from the pure elements is 28 kJ/mol of formula units. The density of states at the Fermi level comes out at 3.56 states/eV/f.u. The calculation puts the volume at 96.73 Å³ per cell. For the spin magnetization, the calculation gives 0.000 μB per atom.



(25)
HfTc | PBE | relaxed

Cell: 2.9933 4.5718 5.2734 Å, 90.00 76.94 90.00°
Fractional coordinates of all 4 atoms:
Hf (0.1470, 0.7500, 0.1372)
Hf (0.8530, 0.2500, 0.8628)
Tc (0.6181, 0.7500, 0.6250)
Tc (0.3819, 0.2500, 0.3750)

The energy of formation from the pure elements is -37 kJ/mol of formula units. The density of states at the Fermi level comes out at 1.76 states/eV/f.u. The calculation puts the volume at 70.30 Å³ per cell. For the spin magnetization, the calculation gives 0.000 μB per atom.



(26)
K3Dy2HoSe6 | PBE | relaxed

Cell: 7.2874 7.2874 8.0575 Å, 98.67 98.67 120.00°
Fractional coordinates of all 12 atoms:
K (0.1668, 0.8332, 0.5000)
K (0.8332, 0.1668, 0.5000)
K (0.5000, 0.5000, 0.5000)
Dy (0.3334, 0.6666, 0.0000)
Dy (0.6666, 0.3334, 0.0000)
Ho (0.0000, 0.0000, 0.0000)
Se (0.9318, 0.5995, 0.7953)
Se (0.7359, 0.7359, 0.2048)
Se (0.0682, 0.4005, 0.2047)
Se (0.5995, 0.9318, 0.7953)
Se (0.2641, 0.2641, 0.7952)
Se (0.4005, 0.0682, 0.2047)

The formation energy without anion corrections comes out at -21.17 eV/f.u. The density of states at the Fermi level comes out at 0.00 states/eV/f.u. The calculation puts the volume at 353.34 Å³ per cell. For the spin magnetization, the calculation gives 0.000 μB per atom.